Version w
The following is a DFT calculation (PBE) of crystalline TbHoPu2 at its relaxed geometry.

a b c (Å): 3.4011 3.4011 10.0904
angles (deg): 90.00 90.00 90.00
With the nearest neighbours (Å) after each atom.
Fractional coordinates of all 4 atoms:
Pu1 0.0000 0.0000 0.7487  4 Pu 3.40, 4 Ho 3.48, 4 Tb 3.49
Ho1 0.5000 0.5000 0.5000  4 Ho 3.40, 8 Pu 3.48
Pu2 0.0000 0.0000 0.2513  4 Pu 3.40, 4 Ho 3.48, 4 Tb 3.49
Tb1 0.5000 0.5000 0.0000  4 Tb 3.40, 8 Pu 3.49

Version x
The following is a DFT calculation (PBE) of crystalline TbHoPu2 at its relaxed geometry.

a b c (Å): 5.4840 5.4840 5.4827
angles (deg): 59.99 59.99 60.00
With the nearest neighbours (Å) after each atom.
Fractional coordinates of all 4 atoms:
Tb1 0.4999 0.4999 0.5003  4 Ho 3.36, 4 Pu 3.36
Ho1 0.7501 0.7501 0.7497  4 Tb 3.36, 4 Pu 3.36
Pu1 0.0002 0.0002 0.9995  4 Pu 3.35-3.36, 4 Ho 3.36
Pu2 0.2498 0.2498 0.2505  4 Pu 3.35-3.36, 4 Tb 3.36

Version y
The following is a DFT calculation (PBE) of crystalline TbHoPu2 at its relaxed geometry.

a b c (Å): 5.4862 5.4862 5.4862
angles (deg): 60.00 60.00 60.00
With the nearest neighbours (Å) after each atom.
Fractional coordinates of all 4 atoms:
Pu1 0.7500 0.7500 0.7500  4 Tb 3.36, 4 Ho 3.36
Ho1 0.5000 0.5000 0.5000  8 Pu 3.36
Tb1 0.0000 0.0000 0.0000  8 Pu 3.36
Pu2 0.2500 0.2500 0.2500  4 Tb 3.36, 4 Ho 3.36

Version z
The following is a DFT calculation (PBE) of crystalline TbHoPu2 at its relaxed geometry.

a b c (Å): 3.3699 3.3699 12.2730
angles (deg): 82.11 82.11 60.00
With the nearest neighbours (Å) after each atom.
Fractional coordinates of all 4 atoms:
Pu1 0.9139 0.9139 0.2584  1 Ho 3.13, 6 Pu 3.37
Ho1 0.0000 0.0000 0.0000  2 Pu 3.13, 6 Ho 3.37
Pu2 0.0861 0.0861 0.7416  1 Ho 3.13, 6 Pu 3.37
Tb1 0.5000 0.5000 0.5000  6 Tb 3.37, 6 Pu 3.51

Least stable = version z